Here is TaTl3Mo after structural relaxation from the Alexandria database. Energies are from PBE.

Calculated values
Mass density (Mg/m³): 9.21
ΔH_f (0 K) (eV/atom): 1.511
Energy above the lowest structure with this stoichiometry (meV/atom): 0
Symmetry: No. 221

Cell: 5.4332 5.4332 5.4332 Å, 90.00 90.00 90.00°
Each line ends with the local moment (μB).
Atoms (fractional coordinates):
Tl 0.0000 0.5000 0.0000  -0.06
Tl 0.0000 0.0000 0.5000  -0.03
Tl 0.5000 0.0000 0.0000  0.00
Mo 0.5000 0.5000 0.5000  3.76
Ta 0.0000 0.0000 0.0000  -0.40


Here is RbTmTe2Au after structural relaxation from the Alexandria database. Energies are from PBE.

Calculated values
ΔE_f (raw) (meV/atom): -846.1
Mass density (Mg/m³): 6.69
Symmetry: No. 13

Cell: 4.7502 8.7186 8.4876 Å, 94.13 90.00 90.00°
Atoms (fractional coordinates):
Rb 0.0790 0.5000 0.7500
Rb 0.9210 0.5000 0.2500
Tm 0.4976 0.0000 0.2500
Tm 0.5024 0.0000 0.7500
Te 0.6149 0.7595 0.9831
Te 0.6149 0.2405 0.5169
Te 0.3851 0.7595 0.4831
Te 0.3851 0.2405 0.0169
Au 0.0000 0.0000 0.0000
Au 0.0000 0.0000 0.5000


Here is SrCdPt2 after structural relaxation from the Alexandria database. Energies are from PBE.

Calculated values
Mass density (Mg/m³): 11.63
ΔH_f (0 K) (eV/atom): -0.442
Symmetry: No. 47

Cell: 3.1559 3.7802 7.0658 Å, 90.00 90.00 90.00°
Atoms (fractional coordinates):
Cd 0.5000 0.5000 0.7500
Pt 0.0000 0.0000 0.9591
Pt 0.0000 0.0000 0.5409
Sr 0.5000 0.5000 0.2500


Here is Ho2TeAs after structural relaxation from the Alexandria database. Energies are from PBE.

Calculated values
ΔE_f (raw) (meV/atom): -1473.5
Mass density (Mg/m³): 8.30
Energy above the lowest structure with this stoichiometry (meV/atom): 0
Symmetry: No. 166

Cell: 4.1782 4.1771 7.4450 Å, 106.24 90.00 120.01°
Atoms (fractional coordinates):
Ho 0.2613 0.0225 0.2831
Ho 0.7387 0.9775 0.7169
Te 0.5000 0.5000 0.0000
As 0.0000 0.5000 0.5000


Here is RbSrHgAu after structural relaxation from the Alexandria database. Energies are from PBE.

Calculated values
Mass density (Mg/m³): 7.05
ΔH_f (0 K) (eV/atom): -0.304
Symmetry: No. 216

Cell: 5.7503 5.7503 5.7503 Å, 60.00 60.00 60.00°
Atoms (fractional coordinates):
Sr 0.5000 0.5000 0.5000
Au 0.2500 0.2500 0.2500
Hg 0.7500 0.7500 0.7500
Rb 0.0000 0.0000 0.0000


Here is BP2SeCl after structural relaxation from the Alexandria database. Energies are from PBE.

Calculated values
ΔE_f (raw) (meV/atom): 829.3
Mass density (Mg/m³): 3.99
Energy above the lowest structure with this stoichiometry (meV/atom): 0
Symmetry: No. 123

Cell: 4.3664 4.3664 4.0837 Å, 90.00 90.00 90.00°
Atoms (fractional coordinates):
P 0.0000 0.5000 0.0000
P 0.5000 0.0000 0.0000
B 0.0000 0.0000 0.0000
Se 0.5000 0.5000 0.5000
Cl 0.0000 0.0000 0.5000